Record 1
The following is a PBE-GGA calculation of NpPRuN after structural relaxation, from Alexandria.

Structure (CIF):
```
data_NpPRuN
_chemical_formula_sum 'Np2 P2 Ru2 N2'
_cell_length_a 3.947
_cell_length_b 3.947
_cell_length_c 7.800
_cell_angle_alpha 90.00
_cell_angle_beta 90.00
_cell_angle_gamma 90.00
_symmetry_space_group_name_H-M 'P 1'
_symmetry_Int_Tables_number 1
loop_
_symmetry_equiv_pos_as_xyz
'x,y,z'
loop_
_atom_site_label
_atom_site_type_symbol
_atom_site_fract_x
_atom_site_fract_y
_atom_site_fract_z
Np1 Np 0.250 0.250 0.140
Np2 Np 0.750 0.750 0.860
P1 P 0.250 0.250 0.656
P2 P 0.750 0.750 0.344
Ru1 Ru 0.250 0.750 0.500
Ru2 Ru 0.750 0.250 0.500
N1 N 0.250 0.750 0.000
N2 N 0.750 0.250 0.000
```

Computed properties:
* total magnetic moment: 5.5 μB per cell
* ΔE_f (raw): -992 meV/atom
* total energy: -79.84 eV per cell



Record 2
The following is a PBE-GGA calculation of Tb2NdRu after structural relaxation, from Alexandria.

Structure (CIF):
```
data_Tb2NdRu
_chemical_formula_sum 'Tb2 Nd1 Ru1'
_cell_length_a 3.457
_cell_length_b 3.457
_cell_length_c 9.129
_cell_angle_alpha 90.00
_cell_angle_beta 90.00
_cell_angle_gamma 90.00
_symmetry_space_group_name_H-M 'P 1'
_symmetry_Int_Tables_number 1
loop_
_symmetry_equiv_pos_as_xyz
'x,y,z'
loop_
_atom_site_label
_atom_site_type_symbol
_atom_site_fract_x
_atom_site_fract_y
_atom_site_fract_z
Tb1 Tb 0.000 0.000 0.180
Tb2 Tb 0.000 0.000 0.820
Nd1 Nd 0.500 0.500 0.500
Ru1 Ru 0.500 0.500 0.000
```

Computed properties:
* energy of formation: -202.7 meV per atom
* total magnetic moment: 0.0 μB per cell
* total energy: -24.11 eV per cell
* energy above the most stable polymorph in this dataset: 64 meV/atom



Record 3
The following is a PBE-GGA calculation of TcBH2 after structural relaxation, from Alexandria.

Structure (CIF):
```
data_TcBH2
_chemical_formula_sum 'Tc2 B2 H4'
_cell_length_a 6.768
_cell_length_b 6.768
_cell_length_c 6.768
_cell_angle_alpha 153.83
_cell_angle_beta 153.83
_cell_angle_gamma 37.34
_symmetry_space_group_name_H-M 'P 1'
_symmetry_Int_Tables_number 1
loop_
_symmetry_equiv_pos_as_xyz
'x,y,z'
loop_
_atom_site_label
_atom_site_type_symbol
_atom_site_fract_x
_atom_site_fract_y
_atom_site_fract_z
Tc1 Tc 0.000 0.000 0.000
Tc2 Tc 0.750 0.250 0.500
B1 B 0.250 0.750 0.500
B2 B 0.500 0.500 0.000
H1 H 0.070 0.625 0.945
H2 H 0.375 0.320 0.445
H3 H 0.680 0.125 0.055
H4 H 0.875 0.930 0.555
```

Computed properties:
* total magnetic moment: 0.0 μB per cell
* total energy: -44.21 eV per cell
* energy above the most stable polymorph in this dataset: 0 meV/atom



Record 4
The following is a PBE-GGA calculation of CaBiIO6 after structural relaxation, from Alexandria.

Structure (CIF):
```
data_CaBiIO6
_chemical_formula_sum 'Ca2 Bi2 I2 O12'
_cell_length_a 5.648
_cell_length_b 5.648
_cell_length_c 10.026
_cell_angle_alpha 90.00
_cell_angle_beta 90.00
_cell_angle_gamma 120.00
_symmetry_space_group_name_H-M 'P 1'
_symmetry_Int_Tables_number 1
loop_
_symmetry_equiv_pos_as_xyz
'x,y,z'
loop_
_atom_site_label
_atom_site_type_symbol
_atom_site_fract_x
_atom_site_fract_y
_atom_site_fract_z
Ca1 Ca 0.000 0.000 0.000
Ca2 Ca 0.000 0.000 0.500
Bi1 Bi 0.333 0.667 0.250
Bi2 Bi 0.667 0.333 0.750
I1 I 0.333 0.667 0.750
I2 I 0.667 0.333 0.250
O1 O 0.006 0.364 0.637
O2 O 0.006 0.642 0.863
O3 O 0.358 0.364 0.863
O4 O 0.358 0.994 0.637
O5 O 0.364 0.006 0.137
O6 O 0.364 0.358 0.363
O7 O 0.636 0.642 0.637
O8 O 0.636 0.994 0.863
O9 O 0.642 0.006 0.363
O10 O 0.642 0.636 0.137
O11 O 0.994 0.358 0.137
O12 O 0.994 0.636 0.363
```

Computed properties:
* total magnetic moment: 0.0 μB per cell
* ΔE_f (raw): -1084 meV/atom
* total energy: -93.88 eV per cell



Record 5
The following is a PBE-GGA calculation of Pr2HoTm3 after structural relaxation, from Alexandria.

Structure (CIF):
```
data_Pr2HoTm3
_chemical_formula_sum 'Pr4 Ho2 Tm6'
_cell_length_a 11.818
_cell_length_b 11.818
_cell_length_c 10.189
_cell_angle_alpha 108.23
_cell_angle_beta 108.23
_cell_angle_gamma 16.96
_symmetry_space_group_name_H-M 'P 1'
_symmetry_Int_Tables_number 1
loop_
_symmetry_equiv_pos_as_xyz
'x,y,z'
loop_
_atom_site_label
_atom_site_type_symbol
_atom_site_fract_x
_atom_site_fract_y
_atom_site_fract_z
Pr1 Pr 0.069 0.069 0.130
Pr2 Pr 0.310 0.310 0.628
Pr3 Pr 0.690 0.690 0.372
Pr4 Pr 0.931 0.931 0.870
Ho1 Ho 0.310 0.310 0.964
Ho2 Ho 0.690 0.690 0.036
Tm1 Tm 0.071 0.071 0.761
Tm2 Tm 0.306 0.306 0.285
Tm3 Tm 0.442 0.442 0.555
Tm4 Tm 0.558 0.558 0.445
Tm5 Tm 0.694 0.694 0.715
Tm6 Tm 0.929 0.929 0.239
```

Computed properties:
* energy of formation: 126.2 meV per atom
* total magnetic moment: 0.0 μB per cell
* total energy: -53.59 eV per cell



Record 6
The following is a PBE-GGA calculation of AcCeYMg after structural relaxation, from Alexandria.

Structure (CIF):
```
data_AcCeYMg
_chemical_formula_sum 'Ac1 Ce1 Y1 Mg1'
_cell_length_a 5.716
_cell_length_b 5.716
_cell_length_c 5.716
_cell_angle_alpha 60.00
_cell_angle_beta 60.00
_cell_angle_gamma 60.00
_symmetry_space_group_name_H-M 'P 1'
_symmetry_Int_Tables_number 1
loop_
_symmetry_equiv_pos_as_xyz
'x,y,z'
loop_
_atom_site_label
_atom_site_type_symbol
_atom_site_fract_x
_atom_site_fract_y
_atom_site_fract_z
Ac1 Ac 0.000 0.000 0.000
Ce1 Ce 0.250 0.250 0.250
Y1 Y 0.750 0.750 0.750
Mg1 Mg 0.500 0.500 0.500
```

Computed properties:
* energy of formation: 186.2 meV per atom
* total magnetic moment: 1.8 μB per cell
* total energy: -17.36 eV per cell



Record 7
The following is a PBE-GGA calculation of NaPmS2 after structural relaxation, from Alexandria.

Structure (CIF):
```
data_NaPmS2
_chemical_formula_sum 'Na1 Pm1 S2'
_cell_length_a 4.894
_cell_length_b 4.894
_cell_length_c 4.894
_cell_angle_alpha 60.00
_cell_angle_beta 60.00
_cell_angle_gamma 60.00
_symmetry_space_group_name_H-M 'P 1'
_symmetry_Int_Tables_number 1
loop_
_symmetry_equiv_pos_as_xyz
'x,y,z'
loop_
_atom_site_label
_atom_site_type_symbol
_atom_site_fract_x
_atom_site_fract_y
_atom_site_fract_z
Na1 Na 0.000 0.000 0.000
Pm1 Pm 0.500 0.500 0.500
S1 S 0.250 0.250 0.250
S2 S 0.750 0.750 0.750
```

Computed properties:
* total magnetic moment: 0.0 μB per cell
* ΔE_f (raw): -1544 meV/atom
* total energy: -20.50 eV per cell
* energy above the most stable polymorph in this dataset: 265 meV/atom



Record 8
The following is a PBE-GGA calculation of Ta2ClF after structural relaxation, from Alexandria.

Structure (CIF):
```
data_Ta2ClF
_chemical_formula_sum 'Ta4 Cl2 F2'
_cell_length_a 8.692
_cell_length_b 8.692
_cell_length_c 8.692
_cell_angle_alpha 153.49
_cell_angle_beta 153.49
_cell_angle_gamma 37.84
_symmetry_space_group_name_H-M 'P 1'
_symmetry_Int_Tables_number 1
loop_
_symmetry_equiv_pos_as_xyz
'x,y,z'
loop_
_atom_site_label
_atom_site_type_symbol
_atom_site_fract_x
_atom_site_fract_y
_atom_site_fract_z
Ta1 Ta 0.120 0.625 0.995
Ta2 Ta 0.375 0.370 0.495
Ta3 Ta 0.630 0.125 0.005
Ta4 Ta 0.875 0.880 0.505
Cl1 Cl 0.250 0.750 0.500
Cl2 Cl 0.500 0.500 0.000
F1 F 0.000 0.000 0.000
F2 F 0.750 0.250 0.500
```

Computed properties:
* total magnetic moment: 0.0 μB per cell
* ΔE_f (raw): -232 meV/atom
* total energy: -56.70 eV per cell
* energy above the most stable polymorph in this dataset: 0 meV/atom



What is the total energy in the first record?
-79.84 eV per cell



Which value of total magnetic moment does entry 1 give?
5.5 μB per cell